No. 1
The following is a PBE-GGA calculation of crystalline Rb3Ag4I8 at its relaxed geometry, from the Alexandria database.

Summary:
* total magnetic moment: 0.74 μB/cell
* formation energy without anion corrections: -0.57 eV per atom
* space group: C2/m

Geometry as POSCAR:
```
Rb3Ag4I8
1.0
6.681 -6.736 0.000
6.681 6.736 0.000
-6.325 0.000 6.918
Rb Ag I
3 4 8
direct
0.000 0.000 0.000
0.000 0.500 0.500
0.500 0.000 0.500
0.000 0.500 0.000
0.500 0.000 0.000
0.500 0.500 0.000
0.500 0.500 0.500
0.265 0.265 0.977
0.266 0.734 0.000
0.286 0.714 0.500
0.306 0.306 0.536
0.694 0.694 0.464
0.714 0.286 0.500
0.734 0.266 0.000
0.735 0.735 0.023
```

=====

No. 2
The following is a PBE-GGA calculation of crystalline Rb6AgI5 at its relaxed geometry, from the Alexandria database.

Summary:
* total magnetic moment: 0.00 μB/cell
* formation energy without anion corrections: -1.22 eV per atom
* space group: C2/m

Geometry as POSCAR:
```
Rb6AgI5
1.0
4.578 -7.928 0.000
4.578 7.928 0.000
-3.052 0.000 8.626
Rb Ag I
6 1 5
direct
0.083 0.416 0.749
0.249 0.249 0.250
0.416 0.083 0.749
0.584 0.917 0.251
0.751 0.751 0.750
0.917 0.584 0.251
0.000 0.000 0.500
0.167 0.833 0.000
0.334 0.666 0.500
0.500 0.500 0.000
0.666 0.334 0.500
0.833 0.167 0.000
```